Record 1
The following is a GGA-PBE calculation of a relaxed Na2Sr8Hg crystal, from Alexandria.

Energy of formation from the pure elements ... -0.8 eV per formula unit
Crystal system ... monoclinic

Unit cell a=20.6945 b=6.2976 c=7.9680 alpha=90.00 beta=97.31 gamma=90.00
With the nearest neighbours (Å) after each atom.
Space group C2/m (No. 12)
Symmetry-distinct sites (fractional):
Na1 0.1628 0.0000 0.1649 x4  8 Sr 3.73-4.06
Sr1 0.0261 0.0000 0.7708 x4  2 Hg 3.71, 3 Sr 3.94-4.04, 2 Na 3.95-4.01
Sr2 0.0865 0.5000 0.3952 x4  1 Hg 3.42
Sr3 0.1547 0.5000 0.9129 x4  1 Hg 3.36, 2 Na 3.73
Sr4 0.2134 0.0000 0.6307 x4  1 Na 3.73, 6 Sr 4.14-4.17
Hg1 0.0000 0.5000 0.0000 x2  8 Sr 3.36-3.71

=====

Record 2
The following is a GGA-PBE calculation of a relaxed Na2Sr7Hg2 crystal, from Alexandria.

Energy of formation from the pure elements ... -2.0 eV per formula unit
Crystal system ... orthorhombic

Unit cell a=4.5419 b=19.5148 c=11.1491 alpha=90.00 beta=90.00 gamma=90.00
With the nearest neighbours (Å) after each atom.
Space group Imm2 (No. 44)
Symmetry-distinct sites (fractional):
Na1 0.0000 0.0000 0.0000 x2  7 Sr 3.71-3.96
Na2 0.0000 0.5000 0.1483 x2  8 Sr 3.86-4.07
Sr1 0.0000 0.0000 0.3555 x2  3 Na 3.96-3.98
Sr2 0.0000 0.1420 0.7785 x4  2 Hg 3.31, 1 Na 3.71
Sr3 0.0000 0.3153 0.9786 x4  3 Hg 3.39-3.61
Sr4 0.0000 0.3530 0.6117 x4  2 Hg 3.35
Hg1 0.0000 0.2344 0.2701 x4  7 Sr 3.31-3.61

=====

Record 3
The following is a GGA-PBE calculation of a relaxed NaSrHg2 crystal, from Alexandria.

Energy of formation from the pure elements ... -1.5 eV per formula unit
Crystal system ... tetragonal

Unit cell a=3.9274 b=3.9274 c=7.5074 alpha=90.00 beta=90.00 gamma=90.00
With the nearest neighbours (Å) after each atom.
Space group P4/mmm (No. 123)
Symmetry-distinct sites (fractional):
Na1 0.0000 0.0000 0.0000 x1  8 Hg 3.26
Sr1 0.0000 0.0000 0.5000 x1  8 Hg 3.45, 2 Na 3.75
Hg1 0.5000 0.5000 0.2281 x2  4 Na 3.26, 1 Hg 3.42, 4 Sr 3.45

=====

Record 4
The following is a GGA-PBE calculation of a relaxed NaSrHg crystal, from Alexandria.

Energy of formation from the pure elements ... -0.8 eV per formula unit
Crystal system ... tetragonal

Unit cell a=4.2025 b=4.2025 c=11.0976 alpha=90.00 beta=90.00 gamma=90.00
With the nearest neighbours (Å) after each atom.
Space group I4mm (No. 107)
Symmetry-distinct sites (fractional):
Na1 0.0000 0.0000 0.0000 x2  5 Sr 3.33-3.71, 4 Hg 3.37
Sr1 0.0000 0.0000 0.2998 x2  5 Na 3.33-3.71, 4 Hg 3.44
Hg1 0.0000 0.0000 0.6437 x2  4 Na 3.37, 4 Sr 3.44

=====

Record 5
The following is a GGA-PBE calculation of a relaxed NaSr2Hg2 crystal, from Alexandria.

Energy of formation from the pure elements ... -1.3 eV per formula unit
Crystal system ... tetragonal

Unit cell a=6.3793 b=6.3793 c=9.1885 alpha=90.00 beta=90.00 gamma=90.00
With the nearest neighbours (Å) after each atom.
Space group I4/mmm (No. 139)
Symmetry-distinct sites (fractional):
Na1 0.0000 0.0000 0.0000 x2  2 Hg 3.18
Sr1 0.0000 0.5000 0.2500 x4  4 Hg 3.31
Hg1 0.0000 0.0000 0.3457 x4  1 Hg 2.83

=====

Record 6
The following is a GGA-PBE calculation of a relaxed Na6Sr12Hg crystal, from Alexandria.

Energy of formation from the pure elements ... 0.4 eV per formula unit
Crystal system ... trigonal

Unit cell a=13.4656 b=13.4656 c=17.1086 alpha=90.00 beta=90.00 gamma=120.00
With the nearest neighbours (Å) after each atom.
Space group R-3 (No. 148, hexagonal axes)
Symmetry-distinct sites (fractional):
Na1 0.0388 0.6002 0.2038 x18  1 Hg 3.66, 7 Sr 3.79-4.07, 2 Na 3.82
Sr1 0.0276 0.8454 0.3260 x18  1 Hg 3.76, 4 Na 3.79-4.07, 4 Sr 3.93-4.13
Sr2 0.0565 0.2090 0.9081 x18  4 Na 3.90-4.26, 5 Sr 4.03-4.34
Hg1 0.0000 0.0000 0.5000 x3  6 Na 3.66, 6 Sr 3.76